{
  "formula": "CaPmErMg",
  "functional": "PBE",
  "state": "relaxed",
  "n_ef_per_ev_atom": 1.446,
  "final_energy_ev_per_cell": -12.95,
  "polymorph_energy_mev_per_atom": 0,
  "e_form_mev_per_atom": -11,
  "lattice": [[3.625, 0.000, 0.000], [0.000, 3.625, 0.000], [0.000, 0.000, 9.735]],
  "species": ["Ca", "Pm", "Er", "Mg"],
  "frac_coords": [[0.000, 0.000, 0.000], [0.500, 0.500, 0.704], [0.000, 0.000, 0.456], [0.500, 0.500, 0.240]]
}

***

{
  "formula": "CaPmErMg",
  "functional": "PBE",
  "state": "relaxed",
  "n_ef_per_ev_atom": 0.691,
  "final_energy_ev_per_cell": -12.59,
  "polymorph_energy_mev_per_atom": 91,
  "e_form_mev_per_atom": 81,
  "lattice": [[0.000, 3.987, 3.987], [3.987, 0.000, 3.987], [3.987, 3.987, 0.000]],
  "species": ["Ca", "Pm", "Er", "Mg"],
  "frac_coords": [[0.000, 0.000, 0.000], [0.500, 0.500, 0.500], [0.250, 0.250, 0.250], [0.750, 0.750, 0.750]]
}

***

{
  "formula": "CaErMgRu",
  "functional": "PBE",
  "state": "relaxed",
  "n_ef_per_ev_atom": 0.717,
  "final_energy_ev_per_cell": -17.46,
  "e_form_mev_per_atom": -6,
  "lattice": [[0.000, 3.555, 3.555], [3.555, 0.000, 3.555], [3.555, 3.555, 0.000]],
  "species": ["Ca", "Er", "Mg", "Ru"],
  "frac_coords": [[0.000, 0.000, 0.000], [0.500, 0.500, 0.500], [0.250, 0.250, 0.250], [0.750, 0.750, 0.750]]
}

***

{
  "formula": "Ca3Er3MgS8",
  "functional": "PBE",
  "state": "relaxed",
  "n_ef_per_ev_atom": 0.247,
  "final_energy_ev_per_cell": -84.21,
  "lattice": [[3.896, 2.249, 6.518], [-3.896, 2.249, 6.518], [0.000, -4.498, 6.518]],
  "species": ["Ca", "Ca", "Ca", "Er", "Er", "Er", "Mg", "S", "S", "S", "S", "S", "S", "S", "S"],
  "frac_coords": [[0.000, 0.500, 0.500], [0.500, 0.000, 0.500], [0.500, 0.500, 0.000], [0.000, 0.000, 0.500], [0.000, 0.500, 0.000], [0.500, 0.000, 0.000], [0.500, 0.500, 0.500], [0.247, 0.247, 0.247], [0.251, 0.739, 0.739], [0.261, 0.261, 0.749], [0.261, 0.749, 0.261], [0.739, 0.251, 0.739], [0.739, 0.739, 0.251], [0.749, 0.261, 0.261], [0.753, 0.753, 0.753]]
}

***

{
  "formula": "Ca2ErMgS4",
  "functional": "PBE",
  "state": "relaxed",
  "n_ef_per_ev_atom": 0.306,
  "final_energy_ev_per_cell": -41.70,
  "lattice": [[6.781, 0.000, 0.000], [0.000, 3.890, 0.000], [-2.274, 0.000, 6.405]],
  "species": ["Ca", "Ca", "Er", "Mg", "S", "S", "S", "S"],
  "frac_coords": [[0.000, 0.000, 0.000], [0.500, 0.500, 0.000], [0.000, 0.500, 0.500], [0.500, 0.000, 0.500], [0.251, 0.000, 0.737], [0.263, 0.500, 0.270], [0.737, 0.500, 0.730], [0.749, 0.000, 0.263]]
}

***

{
  "formula": "CaSmErMg",
  "functional": "PBE",
  "state": "relaxed",
  "n_ef_per_ev_atom": 1.032,
  "final_energy_ev_per_cell": -12.57,
  "polymorph_energy_mev_per_atom": 85,
  "e_form_mev_per_atom": 77,
  "lattice": [[0.000, 3.958, 3.958], [3.958, 0.000, 3.958], [3.958, 3.958, 0.000]],
  "species": ["Ca", "Sm", "Er", "Mg"],
  "frac_coords": [[0.000, 0.000, 0.000], [0.750, 0.750, 0.750], [0.250, 0.250, 0.250], [0.500, 0.500, 0.500]]
}

***

{
  "formula": "CaSmErMg",
  "functional": "PBE",
  "state": "relaxed",
  "n_ef_per_ev_atom": 1.456,
  "final_energy_ev_per_cell": -12.91,
  "polymorph_energy_mev_per_atom": 0,
  "e_form_mev_per_atom": -8,
  "lattice": [[3.617, 0.000, 0.000], [0.000, 3.617, 0.000], [0.000, 0.000, 9.731]],
  "species": ["Ca", "Sm", "Er", "Mg"],
  "frac_coords": [[0.000, 0.000, 0.000], [0.500, 0.500, 0.704], [0.000, 0.000, 0.458], [0.500, 0.500, 0.241]]
}

***

{
  "formula": "CaErMgSn",
  "functional": "PBE",
  "state": "relaxed",
  "n_ef_per_ev_atom": 0.920,
  "final_energy_ev_per_cell": -13.58,
  "e_form_mev_per_atom": -354,
  "lattice": [[0.000, 3.783, 3.783], [3.783, 0.000, 3.783], [3.783, 3.783, 0.000]],
  "species": ["Ca", "Er", "Mg", "Sn"],
  "frac_coords": [[0.000, 0.000, 0.000], [0.500, 0.500, 0.500], [0.750, 0.750, 0.750], [0.250, 0.250, 0.250]]
}

***

{
  "formula": "SrCaErMg",
  "functional": "PBE",
  "state": "relaxed",
  "n_ef_per_ev_atom": 1.553,
  "final_energy_ev_per_cell": -9.29,
  "e_form_mev_per_atom": 138,
  "lattice": [[0.000, 4.132, 4.132], [4.132, 0.000, 4.132], [4.132, 4.132, 0.000]],
  "species": ["Sr", "Ca", "Er", "Mg"],
  "frac_coords": [[0.000, 0.000, 0.000], [0.750, 0.750, 0.750], [0.500, 0.500, 0.500], [0.250, 0.250, 0.250]]
}

***

{
  "formula": "CaEr2MgTl4",
  "functional": "PBE",
  "state": "relaxed",
  "n_ef_per_ev_atom": 0.639,
  "final_energy_ev_per_cell": -24.35,
  "e_form_mev_per_atom": -270,
  "lattice": [[2.644, 1.527, 8.856], [-2.644, 1.527, 8.856], [0.000, -3.053, 8.856]],
  "species": ["Ca", "Er", "Er", "Mg", "Tl", "Tl", "Tl", "Tl"],
  "frac_coords": [[0.000, 0.000, 0.000], [0.245, 0.245, 0.245], [0.755, 0.755, 0.755], [0.500, 0.500, 0.500], [0.125, 0.125, 0.125], [0.376, 0.376, 0.376], [0.624, 0.624, 0.624], [0.875, 0.875, 0.875]]
}

***

{
  "formula": "CaErMg2Tl4",
  "functional": "PBE",
  "state": "relaxed",
  "n_ef_per_ev_atom": 0.387,
  "final_energy_ev_per_cell": -21.14,
  "e_form_mev_per_atom": -240,
  "lattice": [[2.620, 1.513, 8.754], [-2.620, 1.513, 8.754], [0.000, -3.025, 8.754]],
  "species": ["Ca", "Er", "Mg", "Mg", "Tl", "Tl", "Tl", "Tl"],
  "frac_coords": [[0.000, 0.000, 0.000], [0.500, 0.500, 0.500], [0.249, 0.249, 0.249], [0.751, 0.751, 0.751], [0.125, 0.125, 0.125], [0.377, 0.377, 0.377], [0.623, 0.623, 0.623], [0.875, 0.875, 0.875]]
}

***

{
  "formula": "CaErMgTl",
  "functional": "PBE",
  "state": "relaxed",
  "n_ef_per_ev_atom": 0.519,
  "final_energy_ev_per_cell": -11.47,
  "e_form_mev_per_atom": -237,
  "lattice": [[0.000, 3.811, 3.811], [3.811, 0.000, 3.811], [3.811, 3.811, 0.000]],
  "species": ["Ca", "Er", "Mg", "Tl"],
  "frac_coords": [[0.000, 0.000, 0.000], [0.500, 0.500, 0.500], [0.750, 0.750, 0.750], [0.250, 0.250, 0.250]]
}

***

{
  "formula": "CaY2Er2Mg5",
  "functional": "PBE",
  "state": "relaxed",
  "n_ef_per_ev_atom": 0.936,
  "final_energy_ev_per_cell": -62.36,
  "e_form_mev_per_atom": 85,
  "lattice": [[10.787, 0.000, 0.000], [0.000, 10.787, 0.000], [0.000, 0.000, 5.008]],
  "species": ["Ca", "Ca", "Y", "Y", "Y", "Y", "Er", "Er", "Er", "Er", "Mg", "Mg", "Mg", "Mg", "Mg", "Mg", "Mg", "Mg", "Mg", "Mg"],
  "frac_coords": [[0.000, 0.000, 0.000], [0.500, 0.500, 0.000], [0.179, 0.321, 0.000], [0.321, 0.821, 0.000], [0.679, 0.179, 0.000], [0.821, 0.679, 0.000], [0.115, 0.615, 0.000], [0.385, 0.115, 0.000], [0.615, 0.885, 0.000], [0.885, 0.385, 0.000], [0.000, 0.500, 0.500], [0.072, 0.798, 0.500], [0.202, 0.072, 0.500], [0.298, 0.572, 0.500], [0.428, 0.298, 0.500], [0.500, 0.000, 0.500], [0.572, 0.702, 0.500], [0.702, 0.428, 0.500], [0.798, 0.928, 0.500], [0.928, 0.202, 0.500]]
}

***

{
  "formula": "CaErMgZn",
  "functional": "PBE",
  "state": "relaxed",
  "n_ef_per_ev_atom": 0.804,
  "final_energy_ev_per_cell": -10.16,
  "polymorph_energy_mev_per_atom": 0,
  "e_form_mev_per_atom": -182,
  "lattice": [[3.660, 0.000, 0.000], [0.000, 3.660, 0.000], [0.000, 0.000, 7.784]],
  "species": ["Ca", "Er", "Mg", "Zn"],
  "frac_coords": [[0.000, 0.000, 0.000], [0.000, 0.000, 0.447], [0.500, 0.500, 0.712], [0.500, 0.500, 0.246]]
}

***

{
  "formula": "CaErMgZn",
  "functional": "PBE",
  "state": "relaxed",
  "n_ef_per_ev_atom": 0.968,
  "final_energy_ev_per_cell": -9.94,
  "polymorph_energy_mev_per_atom": 55,
  "e_form_mev_per_atom": -127,
  "lattice": [[0.000, 3.719, 3.719], [3.719, 0.000, 3.719], [3.719, 3.719, 0.000]],
  "species": ["Ca", "Er", "Mg", "Zn"],
  "frac_coords": [[0.000, 0.000, 0.000], [0.500, 0.500, 0.500], [0.750, 0.750, 0.750], [0.250, 0.250, 0.250]]
}

***

{
  "formula": "CaEr3Mn",
  "functional": "PBE",
  "state": "relaxed",
  "n_ef_per_ev_atom": 0.946,
  "final_energy_ev_per_cell": -24.05,
  "e_form_mev_per_atom": 162,
  "lattice": [[5.296, 0.000, 0.000], [0.000, 5.296, 0.000], [0.000, 0.000, 5.296]],
  "species": ["Ca", "Er", "Er", "Er", "Mn"],
  "frac_coords": [[0.000, 0.000, 0.000], [0.000, 0.500, 0.500], [0.500, 0.000, 0.500], [0.500, 0.500, 0.000], [0.500, 0.500, 0.500]]
}

***

{
  "formula": "CaEr2MnN4",
  "functional": "PBE",
  "state": "relaxed",
  "n_ef_per_ev_atom": 0.239,
  "final_energy_ev_per_cell": -125.47,
  "lattice": [[1.696, -5.751, 0.000], [1.696, 5.751, 0.000], [0.000, 0.000, 11.572]],
  "species": ["Ca", "Ca", "Er", "Er", "Er", "Er", "Mn", "Mn", "N", "N", "N", "N", "N", "N", "N", "N"],
  "frac_coords": [[0.104, 0.896, 0.750], [0.896, 0.104, 0.250], [0.370, 0.630, 0.543], [0.370, 0.630, 0.957], [0.630, 0.370, 0.043], [0.630, 0.370, 0.457], [0.170, 0.830, 0.250], [0.830, 0.170, 0.750], [0.000, 0.000, 0.000], [0.000, 0.000, 0.500], [0.262, 0.738, 0.124], [0.262, 0.738, 0.376], [0.407, 0.593, 0.750], [0.593, 0.407, 0.250], [0.738, 0.262, 0.624], [0.738, 0.262, 0.876]]
}